## LaAsPCl2 (GGA-PBE)

Data for an optimized crystal structure of LaAsPCl2.

Cell and atoms, written as CIF:
```
data_LaAsPCl2
_cell_length_a 5.4288
_cell_length_b 5.4288
_cell_length_c 6.1493
_cell_angle_alpha 90.00
_cell_angle_beta 90.00
_cell_angle_gamma 90.00
_space_group_name_H-M_alt 'P 1'
_space_group_IT_number 1
loop_
_space_group_symop_operation_xyz
'x,y,z'
loop_
_atom_site_label
_atom_site_fract_x
_atom_site_fract_y
_atom_site_fract_z
_atom_site_occupancy
Cl1 0.5000 0.0000 0.0000 1
Cl2 0.0000 0.5000 0.0000 1
La1 0.0000 0.0000 0.0000 1
As1 0.5000 0.5000 0.5000 1
P1 0.0000 0.0000 0.5000 1
```

Calculated values
Total magnetic moment (μB per atom): 0.200
E above lowest polymorph (meV per atom): 31
SG: P4/mmm, No. 123
Calculated volume (Å³/f.u.): 181.2
Raw formation energy (eV per atom): -0.48


## La4AsPCl2 (GGA-PBE)

Data for an optimized crystal structure of La4AsPCl2.

Cell and atoms, written as CIF:
```
data_La4AsPCl2
_cell_length_a 4.2686
_cell_length_b 7.3678
_cell_length_c 7.4336
_cell_angle_alpha 70.44
_cell_angle_beta 90.00
_cell_angle_gamma 90.00
_space_group_name_H-M_alt 'P 1'
_space_group_IT_number 1
loop_
_space_group_symop_operation_xyz
'x,y,z'
loop_
_atom_site_label
_atom_site_fract_x
_atom_site_fract_y
_atom_site_fract_z
_atom_site_occupancy
La1 0.5000 0.2747 0.7319 1
P1 0.0000 0.5000 0.5000 1
La2 0.0000 0.2693 0.2546 1
Cl1 0.0000 0.0000 0.0000 1
As1 0.5000 0.5000 0.0000 1
La3 0.5000 0.7253 0.2681 1
La4 0.0000 0.7307 0.7454 1
Cl2 0.5000 0.0000 0.5000 1
```

Calculated values
Total magnetic moment (μB per atom): 0.000
SG: P2/m, No. 10
Calculated volume (Å³/f.u.): 220.3
Raw formation energy (eV per atom): -1.69